Record 1
## Li3ZrCl (PBE)

Data for Li3ZrCl after structural relaxation.

a = 4.6397 Å, b = 4.6397 Å, c = 4.6397 Å
α = 90.00°, β = 90.00°, γ = 90.00°
With the nearest neighbours (Å) after each atom.
Sites, in units of the cell vectors:
1 Li 0.0000 0.0000 0.5000  2 Cl 2.32
2 Li 0.0000 0.5000 0.0000  2 Cl 2.32
3 Li 0.5000 0.0000 0.0000  2 Cl 2.32
4 Zr 0.5000 0.5000 0.5000  12 Li 3.28
5 Cl 0.0000 0.0000 0.0000  6 Li 2.32

Output
The formation energy without anion corrections comes out at 0.07 eV/atom. Its calculated density is 2.45 g/cm³. Its relative energy among the computed polymorphs is 0.0 meV per atom. The magnetic moment is 0.0 μB per formula unit. As for the space-group type: Pm-3m. As for the final energy: -0.11619 hartree per atom.

---

Record 2
## ZrHgMo2 (PBE)

Data for ZrHgMo2 after structural relaxation.

a = 5.3727 Å, b = 5.3727 Å, c = 5.3727 Å
α = 141.68°, β = 128.49°, γ = 65.99°
With the nearest neighbours (Å) after each atom.
Sites, in units of the cell vectors:
1 Zr 0.0000 0.0000 0.0000  8 Mo 2.88-3.22, 4 Hg 3.02-3.11
2 Hg 0.2720 0.7720 0.5000  8 Mo 2.93-3.15, 4 Zr 3.02-3.11
3 Mo 0.5370 0.5370 0.0000  2 Mo 2.59
4 Mo 0.7468 0.2468 0.5000  2 Mo 2.59, 2 Zr 2.88

Output
Its calculated density is 10.82 g/cm³. The formation enthalpy at 0 K comes out at 0.8 eV per formula unit. The magnetic moment is 0.0 μB per formula unit. As for the space-group type: Imm2. As for the final energy: -0.27303 hartree per atom.

---

Record 3
## HfUPbO6 (PBE)

Data for HfUPbO6 after structural relaxation.

a = 5.6857 Å, b = 5.6857 Å, c = 10.4601 Å
α = 90.00°, β = 90.00°, γ = 120.00°
With the nearest neighbours (Å) after each atom.
Sites, in units of the cell vectors:
1 Hf 0.3333 0.6667 0.2500  6 O 2.10
2 Hf 0.6667 0.3333 0.7500  6 O 2.10
3 U 0.3333 0.6667 0.7500  6 O 2.10
4 U 0.6667 0.3333 0.2500  6 O 2.10
5 Pb 0.0000 0.0000 0.0000  6 O 2.62
6 Pb 0.0000 0.0000 0.5000  6 O 2.62
7 O 0.9997 0.3735 0.6458  1 Hf 2.10, 1 U 2.10
8 O 0.0003 0.3738 0.1458  1 Hf 2.10, 1 U 2.10
9 O 0.9997 0.6262 0.8542  1 Hf 2.10, 1 U 2.10
10 O 0.0003 0.6265 0.3542  1 Hf 2.10, 1 U 2.10
11 O 0.3735 0.9997 0.1458  1 Hf 2.10, 1 U 2.10
12 O 0.3735 0.3738 0.3542  1 Hf 2.10, 1 U 2.10
13 O 0.3738 0.0003 0.6458  1 Hf 2.10, 1 U 2.10
14 O 0.3738 0.3735 0.8542  1 Hf 2.10, 1 U 2.10
15 O 0.6262 0.9997 0.3542  1 Hf 2.10, 1 U 2.10
16 O 0.6262 0.6265 0.1458  1 Hf 2.10, 1 U 2.10
17 O 0.6265 0.0003 0.8542  1 Hf 2.10, 1 U 2.10
18 O 0.6265 0.6262 0.6458  1 Hf 2.10, 1 U 2.10

Output
The formation energy without anion corrections comes out at -2.81 eV/atom. Its calculated density is 8.16 g/cm³. The magnetic moment is 0.0 μB per formula unit. As for the space-group type: P-31c. As for the final energy: -0.32670 hartree per atom.

---

Record 4
## LaHo2N (PBE)

Data for LaHo2N after structural relaxation.

a = 3.1601 Å, b = 3.1601 Å, c = 9.0669 Å
α = 90.00°, β = 90.00°, γ = 90.00°
With the nearest neighbours (Å) after each atom.
Sites, in units of the cell vectors:
1 La 0.0000 0.0000 0.0000  4 La 3.16
2 Ho 0.5000 0.5000 0.3448  4 N 2.64, 1 Ho 2.81
3 Ho 0.5000 0.5000 0.6552  4 N 2.64, 1 Ho 2.81
4 N 0.0000 0.0000 0.5000  8 Ho 2.64

Output
The formation energy without anion corrections comes out at -0.18 eV/atom. Its calculated density is 8.85 g/cm³. Its relative energy among the computed polymorphs is 549.5 meV per atom. The magnetic moment is 0.0 μB per formula unit. As for the space-group type: P4/mmm. As for the final energy: -0.21253 hartree per atom.

---

Record 5
## CeNp2N4 (PBE)

Data for CeNp2N4 after structural relaxation.

a = 5.9053 Å, b = 5.9053 Å, c = 10.6095 Å
α = 90.00°, β = 90.00°, γ = 146.37°
With the nearest neighbours (Å) after each atom.
Sites, in units of the cell vectors:
1 Ce 0.1123 0.8877 0.7500  6 N 2.38-2.65
2 Ce 0.8877 0.1123 0.2500  6 N 2.38-2.65
3 Np 0.3691 0.6309 0.5702  6 N 2.17-2.38
4 Np 0.3691 0.6309 0.9298  6 N 2.17-2.38
5 Np 0.6309 0.3691 0.0702  6 N 2.17-2.38
6 Np 0.6309 0.3691 0.4298  6 N 2.17-2.38
7 N 0.0000 0.0000 0.0000  4 Np 2.38
8 N 0.0000 0.0000 0.5000  4 Np 2.38
9 N 0.2707 0.7293 0.1057  3 Np 2.17-2.36
10 N 0.2707 0.7293 0.3943  3 Np 2.17-2.36
11 N 0.4654 0.5346 0.7500  2 Np 2.20, 2 Ce 2.38
12 N 0.5346 0.4654 0.2500  2 Np 2.20, 2 Ce 2.38
13 N 0.7293 0.2707 0.6057  3 Np 2.17-2.36
14 N 0.7293 0.2707 0.8943  3 Np 2.17-2.36

Output
The formation energy without anion corrections comes out at -1.22 eV/atom. Its calculated density is 10.86 g/cm³. Its relative energy among the computed polymorphs is 0.0 meV per atom. The magnetic moment is 6.0 μB per formula unit. As for the space-group type: Cmcm. As for the final energy: -0.38671 hartree per atom.

---

Record 6
## CsK2MgPb (PBE)

Data for CsK2MgPb after structural relaxation.

a = 6.9410 Å, b = 6.9410 Å, c = 5.6039 Å
α = 90.00°, β = 90.00°, γ = 90.00°
With the nearest neighbours (Å) after each atom.
Sites, in units of the cell vectors:
1 Cs 0.0000 0.0000 0.0000  8 K 4.46, 4 Pb 4.91
2 K 0.0000 0.5000 0.5000  2 Mg 3.47
3 K 0.5000 0.0000 0.5000  2 Mg 3.47
4 Mg 0.5000 0.5000 0.5000  2 Pb 2.80
5 Pb 0.5000 0.5000 0.0000  2 Mg 2.80

Output
Its calculated density is 2.72 g/cm³. Its relative energy among the computed polymorphs is 57.4 meV per atom. The formation enthalpy at 0 K comes out at 0.4 eV per formula unit. The magnetic moment is 0.3 μB per formula unit. As for the space-group type: P4/mmm. As for the final energy: -0.05868 hartree per atom.

---

Record 7
## Ag2PdAu6 (PBE)

Data for Ag2PdAu6 after structural relaxation.

a = 5.6519 Å, b = 5.6519 Å, c = 6.8818 Å
α = 91.34°, β = 91.34°, γ = 59.55°
With the nearest neighbours (Å) after each atom.
Sites, in units of the cell vectors:
1 Ag 0.1785 0.1785 0.3500  8 Au 2.81-2.89, 1 Pd 2.94
2 Ag 0.8215 0.8215 0.6500  8 Au 2.81-2.89, 1 Pd 2.94
3 Pd 0.0000 0.0000 0.0000  8 Au 2.77-2.83, 2 Ag 2.94
4 Au 0.0000 0.5000 0.0000  4 Au 2.80-2.81, 2 Pd 2.83, 2 Ag 2.89
5 Au 0.1837 0.6713 0.3247  4 Au 2.74-2.88, 1 Pd 2.77, 3 Ag 2.81-2.88
6 Au 0.3287 0.8163 0.6753  4 Au 2.74-2.88, 1 Pd 2.77, 3 Ag 2.81-2.88
7 Au 0.5000 0.0000 0.0000  4 Au 2.80-2.81, 2 Pd 2.83, 2 Ag 2.89
8 Au 0.6713 0.1837 0.3247  4 Au 2.74-2.88, 1 Pd 2.77, 3 Ag 2.81-2.88
9 Au 0.8163 0.3287 0.6753  4 Au 2.74-2.88, 1 Pd 2.77, 3 Ag 2.81-2.88

Output
Its calculated density is 13.18 g/cm³. Its relative energy among the computed polymorphs is 98.1 meV per atom. The formation enthalpy at 0 K comes out at 1.0 eV per formula unit. The magnetic moment is 0.0 μB per formula unit. As for the space-group type: C2/m. As for the final energy: -0.12071 hartree per atom.

---

Record 8
## Zr5Tc2H12 (PBE)

Data for Zr5Tc2H12 after structural relaxation.

a = 5.7349 Å, b = 5.7349 Å, c = 6.6136 Å
α = 100.04°, β = 100.04°, γ = 57.54°
With the nearest neighbours (Å) after each atom.
Sites, in units of the cell vectors:
1 Zr 0.0000 0.0000 0.0000  6 H 2.14-2.24
2 Zr 0.2832 0.2832 0.6612  7 H 1.99-2.14
3 Zr 0.3394 0.3394 0.1336  7 H 2.02-2.13
4 Zr 0.6606 0.6606 0.8664  7 H 2.02-2.13
5 Zr 0.7168 0.7168 0.3388  7 H 1.99-2.14
6 Tc 0.2325 0.7675 0.5000  6 H 1.81-1.85
7 Tc 0.7675 0.2325 0.5000  6 H 1.81-1.85
8 H 0.0620 0.0620 0.3440  2 Tc 1.83
9 H 0.0678 0.5942 0.9031  4 Zr 2.10-2.14, 2 H 2.27-2.29
10 H 0.1265 0.5202 0.4006  1 Tc 1.81, 1 Zr 1.99
11 H 0.4058 0.9322 0.0969  4 Zr 2.10-2.14, 2 H 2.27-2.29
12 H 0.4798 0.8735 0.5994  1 Tc 1.81, 1 Zr 1.99
13 H 0.4825 0.4825 0.6616  2 Tc 1.85, 2 Zr 2.00-2.02
14 H 0.5175 0.5175 0.3384  2 Tc 1.85, 2 Zr 2.00-2.02
15 H 0.5202 0.1265 0.4006  1 Tc 1.81, 1 Zr 1.99
16 H 0.5942 0.0678 0.9031  4 Zr 2.10-2.14, 2 H 2.27-2.29
17 H 0.8735 0.4798 0.5994  1 Tc 1.81, 1 Zr 1.99
18 H 0.9322 0.4058 0.0969  4 Zr 2.10-2.14, 2 H 2.27-2.29
19 H 0.9380 0.9380 0.6560  2 Tc 1.83

Output
Its calculated density is 6.13 g/cm³. The magnetic moment is 0.0 μB per formula unit. As for the space-group type: C2/m. As for the final energy: -0.21246 hartree per atom.

---

Record 9
## MgTc (PBE)

Data for MgTc after structural relaxation.

a = 8.1693 Å, b = 8.1693 Å, c = 8.1693 Å
α = 92.16°, β = 92.16°, γ = 157.63°
With the nearest neighbours (Å) after each atom.
Sites, in units of the cell vectors:
1 Mg 0.0407 0.1929 0.2336  4 Tc 2.76-2.89
2 Mg 0.1929 0.9593 0.1522  4 Tc 2.76-2.89
3 Mg 0.8071 0.0407 0.8478  4 Tc 2.76-2.89
4 Mg 0.9593 0.8071 0.7664  4 Tc 2.76-2.89
5 Tc 0.1853 0.7153 0.9006  2 Tc 2.30
6 Tc 0.2847 0.1853 0.4700  2 Tc 2.30
7 Tc 0.7153 0.8147 0.5300  2 Tc 2.30
8 Tc 0.8147 0.2847 0.0994  2 Tc 2.30

Output
Its calculated density is 3.99 g/cm³. Its relative energy among the computed polymorphs is 858.7 meV per atom. The formation enthalpy at 0 K comes out at 1.7 eV per formula unit. The magnetic moment is 0.0 μB per formula unit. As for the space-group type: I4/m. As for the final energy: -0.18912 hartree per atom.

---

Record 10
## Ca2Pt5Au5 (PBE)

Data for Ca2Pt5Au5 after structural relaxation.

a = 4.5902 Å, b = 5.4786 Å, c = 9.4854 Å
α = 90.00°, β = 90.00°, γ = 90.00°
With the nearest neighbours (Å) after each atom.
Sites, in units of the cell vectors:
1 Ca 0.0000 0.0000 0.0000  6 Au 3.14-3.20
2 Ca 0.0000 0.5000 0.5000  6 Au 3.08-3.18
3 Pt 0.5000 0.0000 0.5000  4 Pt 2.70, 4 Au 2.80
4 Pt 0.5000 0.2523 0.2556  3 Pt 2.70-2.76, 5 Au 2.77-2.78
5 Pt 0.5000 0.2523 0.7444  3 Pt 2.70-2.76, 5 Au 2.77-2.78
6 Pt 0.5000 0.7477 0.2556  3 Pt 2.70-2.76, 5 Au 2.77-2.78
7 Pt 0.5000 0.7477 0.7444  3 Pt 2.70-2.76, 5 Au 2.77-2.78
8 Au 0.0000 0.0000 0.3307  6 Pt 2.77-2.80
9 Au 0.0000 0.0000 0.6693  6 Pt 2.77-2.80
10 Au 0.0000 0.5000 0.1753  4 Pt 2.77, 2 Au 2.83, 1 Ca 3.08
11 Au 0.0000 0.5000 0.8247  4 Pt 2.77, 2 Au 2.83, 1 Ca 3.08
12 Au 0.5000 0.5000 0.0000  4 Pt 2.78, 4 Au 2.83

Output
Its calculated density is 14.20 g/cm³. The formation enthalpy at 0 K comes out at -5.6 eV per formula unit. The magnetic moment is 0.0 μB per formula unit. As for the space-group type: Pmmm. As for the final energy: -0.17196 hartree per atom.

---

Record 11
## Cs2GaTe (PBE)

Data for Cs2GaTe after structural relaxation.

a = 8.2472 Å, b = 8.2472 Å, c = 10.4417 Å
α = 90.00°, β = 90.00°, γ = 88.55°
With the nearest neighbours (Å) after each atom.
Sites, in units of the cell vectors:
1 Cs 0.0004 0.9996 0.1852  5 Cs 3.87-4.18, 4 Ga 3.88-4.18, 4 Te 3.90-4.26
2 Cs 0.9996 0.0004 0.8148  5 Cs 3.87-4.18, 4 Ga 3.88-4.18, 4 Te 3.90-4.26
3 Cs 0.0001 0.4999 0.2500  4 Te 3.98, 4 Ga 4.02-4.03, 4 Cs 4.18
4 Cs 0.9999 0.5001 0.7500  4 Te 3.98, 4 Ga 4.02-4.03, 4 Cs 4.18
5 Cs 0.5001 0.9999 0.2500  4 Te 3.98, 4 Ga 4.02-4.03, 4 Cs 4.18
6 Cs 0.4999 0.0001 0.7500  4 Te 3.98, 4 Ga 4.02-4.03, 4 Cs 4.18
7 Cs 0.5004 0.4996 0.3148  5 Cs 3.87-4.18, 4 Ga 3.88-4.18, 4 Te 3.90-4.26
8 Cs 0.4996 0.5004 0.6852  5 Cs 3.87-4.18, 4 Ga 3.88-4.18, 4 Te 3.90-4.26
9 Ga 0.1786 0.8214 0.5005  2 Te 2.94
10 Ga 0.3214 0.6786 0.0005  2 Te 2.94
11 Ga 0.6786 0.3214 0.9995  2 Te 2.94
12 Ga 0.8214 0.1786 0.4995  2 Te 2.94
13 Te 0.1783 0.1783 0.5000  2 Ga 2.94
14 Te 0.3217 0.3217 0.0000  2 Ga 2.94
15 Te 0.6783 0.6783 0.0000  2 Ga 2.94
16 Te 0.8217 0.8217 0.5000  2 Ga 2.94

Output
The formation energy without anion corrections comes out at -0.52 eV/atom. Its calculated density is 4.33 g/cm³. Its relative energy among the computed polymorphs is 0.0 meV per atom. The magnetic moment is 0.0 μB per formula unit. As for the space-group type: Cmce. As for the final energy: -0.09164 hartree per atom.

---

Record 12
## TlFe4Hg (PBE)

Data for TlFe4Hg after structural relaxation.

a = 5.0805 Å, b = 5.0805 Å, c = 5.0805 Å
α = 60.00°, β = 60.00°, γ = 60.00°
With the nearest neighbours (Å) after each atom.
Sites, in units of the cell vectors:
1 Tl 0.0000 0.0000 0.0000  12 Fe 2.98, 4 Hg 3.11
2 Fe 0.3750 0.3750 0.3750  6 Fe 2.54
3 Fe 0.3750 0.3750 0.8749  6 Fe 2.54
4 Fe 0.3750 0.8749 0.3750  6 Fe 2.54
5 Fe 0.8749 0.3750 0.3750  6 Fe 2.54
6 Hg 0.7500 0.7500 0.7500  12 Fe 2.98, 4 Tl 3.11

Output
Its calculated density is 11.25 g/cm³. The formation enthalpy at 0 K comes out at 2.4 eV per formula unit. The magnetic moment is 10.1 μB per formula unit. As for the space-group type: F-43m. As for the final energy: -0.20873 hartree per atom.